First-principles (PBE-GGA) data for a geometry-optimized RbMoAs3 structure, as listed in Alexandria via LeMat-Bulk.

Computed properties:
* mass density: 4.69 g/cm3
* excess energy over the best structure of this formula in the dataset: 2.531 eV per atom
* ΔE_f: 2579 meV per atom
* total magnetization: 0.00 μB per cell

Cell lengths 5.2407, 5.2407, 5.2407 Å; angles 90.00, 90.00, 90.00 degrees
Last column: nearest neighbours and their distance in Å.
Space group Pm-3m (No. 221)
Unique sites:
Rb: 0.0000 0.0000 0.0000  6 As 2.62
Mo: 0.5000 0.5000 0.5000  12 As 3.71
As: 0.0000 0.0000 0.5000  2 Rb 2.62